(1)
AcPr14Dy: optimized geometry, PBE.

Properties
**DOS(E_F)**: 24.73 states/eV per cell
**Total moment**: 0.000 μB per atom
**Formation enthalpy at 0 K**: 0.013 eV per atom

a = 7.4305 Å, b = 7.4305 Å, c = 10.5370 Å
α = 90.00°, β = 90.00°, γ = 90.00°
Closest atoms and distances in Å follow each position.
Space group P4/mmm (No. 123)
One atom of each set of equivalent atoms:
Ac1 0.0000 0.0000 0.0000 x1  12 Pr 3.72-3.75
Pr1 0.0000 0.0000 0.5000 x1  12 Pr 3.72-3.74
Pr2 0.0000 0.5000 0.0000 x2  2 Dy 3.72, 2 Ac 3.72, 8 Pr 3.72
Pr3 0.0000 0.5000 0.5000 x2  12 Pr 3.72
Pr4 0.2532 0.2532 0.2506 x8  10 Pr 3.67-3.76, 1 Dy 3.70, 1 Ac 3.75
Pr5 0.5000 0.5000 0.5000 x1  12 Pr 3.69-3.72
Dy1 0.5000 0.5000 0.0000 x1  12 Pr 3.70-3.72


(2)
Ac8Pr5Dy: optimized geometry, PBE.

Properties
**DOS(E_F)**: 44.56 states/eV per cell
**Total moment**: 0.000 μB per atom
**Formation enthalpy at 0 K**: 0.171 eV per atom

a = 13.9827 Å, b = 11.8224 Å, c = 9.8619 Å
α = 90.00°, β = 134.18°, γ = 90.00°
Closest atoms and distances in Å follow each position.
Space group C2 (No. 5)
One atom of each set of equivalent atoms:
Ac1 0.0550 0.0000 0.3569 x4  7 Ac 3.66-4.09, 2 Pr 3.66-3.97, 1 Dy 3.72
Ac2 0.1097 0.3231 0.2729 x4  4 Pr 3.51-3.90, 2 Ac 3.92-3.93
Ac3 0.2028 0.5908 0.1488 x4  1 Dy 3.41, 3 Pr 3.65-3.75, 1 Ac 3.66
Ac4 0.2403 0.0232 0.1886 x4  4 Pr 3.42-3.80, 1 Dy 3.45
Pr1 0.0000 0.2889 0.5000 x2  6 Ac 3.51-3.84
Pr2 0.0648 0.6441 0.3737 x4  3 Ac 3.42-3.80, 1 Pr 3.51, 1 Dy 3.74
Pr3 0.2290 0.8056 0.9097 x4  1 Pr 3.51, 7 Ac 3.58-3.82, 1 Dy 3.88
Dy1 0.0000 0.8185 0.0000 x2  6 Ac 3.41-3.72, 2 Pr 3.74